Entry from Alexandria via LeMat-Bulk: a relaxed KRb2WF6 crystal (PBE with a Hubbard U).

Cell: 6.5727 6.5727 6.5727 Å, 119.97 119.97 90.06°
Sites, in units of the cell vectors:
K: 0.0000 0.0000 0.0000
Rb: 0.2500 0.7500 0.5000
Rb: 0.7500 0.2500 0.5000
W: 0.5000 0.5000 0.0000
F: 0.2727 0.2727 0.0000
F: 0.2726 0.2726 0.5452
F: 0.2726 0.7274 0.0000
F: 0.7274 0.2726 0.0000
F: 0.7273 0.7273 0.0000
F: 0.7274 0.7274 0.4548

Results
Total energy in eV/atom: -4.912
Energy above the most stable polymorph in this dataset in eV per formula unit: 0.00
Size of the total moment in μB/cell: 3.00